1.
# PPdPtO2

Crystalline PPdPtO2 at its relaxed geometry (GGA-PBE, Alexandria).

Lattice parameters (Å, degrees): 3.7360 3.7360 5.5903 90.00 90.00 90.00
Last column: nearest neighbours and their distance in Å.
Fractional coordinates of all 5 atoms:
O 0.0000 0.5000 0.0000  2 Pt 1.87
O 0.5000 0.0000 0.0000  2 Pt 1.87
Pt 0.0000 0.0000 0.0000  4 O 1.87
P 0.0000 0.0000 0.5000  4 Pd 2.64, 2 Pt 2.80
Pd 0.5000 0.5000 0.5000  4 P 2.64

## Properties
DFT total energy = -25.35 eV for the cell shown
crystal system = tetragonal
V = 15.61 A^3/atom
formation energy without anion corrections = 0.242 eV/atom


2.
# Rb6Br3Cl2O

Crystalline Rb6Br3Cl2O at its relaxed geometry (GGA-PBE, Alexandria).

Lattice parameters (Å, degrees): 8.3100 8.3100 8.1782 99.77 99.77 120.04
Last column: nearest neighbours and their distance in Å.
Fractional coordinates of all 12 atoms:
Rb 0.7577 0.7577 0.2265  1 O 3.16, 2 Cl 3.33, 2 Br 3.45
Rb 0.3951 0.0758 0.2280  1 O 3.18, 2 Cl 3.33, 3 Br 3.43-3.55
Rb 0.9242 0.6049 0.7720  1 O 3.18, 2 Cl 3.33, 3 Br 3.43-3.55
Rb 0.2423 0.2423 0.7735  1 O 3.16, 2 Cl 3.33, 2 Br 3.45
Rb 0.0758 0.3951 0.2280  1 O 3.18, 2 Cl 3.33, 3 Br 3.43-3.55
Rb 0.6049 0.9242 0.7720  1 O 3.18, 2 Cl 3.33, 3 Br 3.43-3.55
O 0.0000 0.0000 0.0000  6 Rb 3.16-3.18
Br 0.8315 0.1685 0.5000  6 Rb 3.43-3.55
Br 0.1685 0.8315 0.5000  6 Rb 3.43-3.55
Br 0.5000 0.5000 0.5000  6 Rb 3.43-3.58
Cl 0.6664 0.3336 0.0000  6 Rb 3.33
Cl 0.3336 0.6664 0.0000  6 Rb 3.33

## Properties
DFT total energy = -38.67 eV for the cell shown
crystal system = monoclinic
V = 38.32 A^3/atom
formation energy without anion corrections = -1.599 eV/atom


3.
# NpTlSe4

Crystalline NpTlSe4 at its relaxed geometry (GGA-PBE, Alexandria).

Lattice parameters (Å, degrees): 6.9103 6.9103 8.2922 90.00 90.00 80.59
Last column: nearest neighbours and their distance in Å.
Fractional coordinates of all 12 atoms:
Se 0.3427 0.3427 0.5481  2 Np 2.68-2.76
Se 0.2984 0.8650 0.7500  1 Np 2.57
Se 0.1350 0.7016 0.2500  1 Np 2.57
Se 0.6573 0.6573 0.0481  2 Np 2.68-2.76
Se 0.3427 0.3427 0.9519  2 Np 2.68-2.76
Se 0.8650 0.2984 0.7500  1 Np 2.57
Se 0.7016 0.1350 0.2500  1 Np 2.57
Se 0.6573 0.6573 0.4519  2 Np 2.68-2.76
Tl 0.8693 0.8693 0.7500  2 Se 2.96
Tl 0.1307 0.1307 0.2500  2 Se 2.96
Np 0.4593 0.4593 0.2500  6 Se 2.57-2.76
Np 0.5407 0.5407 0.7500  6 Se 2.57-2.76

## Properties
DFT total energy = -62.88 eV for the cell shown
crystal system = orthorhombic
V = 32.55 A^3/atom
formation energy without anion corrections = -0.366 eV/atom


4.
# Li2YAl2

Crystalline Li2YAl2 at its relaxed geometry (GGA-PBE, Alexandria).

Lattice parameters (Å, degrees): 4.0466 4.0466 6.9680 73.12 73.12 90.00
Last column: nearest neighbours and their distance in Å.
Fractional coordinates of all 5 atoms:
Y 0.0000 0.0000 0.0000  8 Al 3.14
Li 0.7500 0.2500 0.5000  4 Al 2.76, 4 Li 2.86
Li 0.2500 0.7500 0.5000  4 Al 2.76, 4 Li 2.86
Al 0.6022 0.6022 0.7956  1 Al 2.60, 4 Li 2.76
Al 0.3978 0.3978 0.2044  1 Al 2.60, 4 Li 2.76

## Properties
DFT total energy = -18.62 eV for the cell shown
crystal system = tetragonal
calculated formation energy = -169 meV/atom
V = 20.81 A^3/atom


5.
# Sr3GeAs4

Crystalline Sr3GeAs4 at its relaxed geometry (GGA-PBE, Alexandria).

Lattice parameters (Å, degrees): 8.4909 9.9106 10.7104 90.00 90.00 90.00
Last column: nearest neighbours and their distance in Å.
Fractional coordinates of all 32 atoms:
Sr 0.6571 0.4105 0.2500  7 As 3.05-3.38
Sr 0.5412 0.1877 0.9475  5 As 3.08-3.35
Sr 0.8429 0.9105 0.7500  7 As 3.05-3.38
Sr 0.4588 0.8123 0.4475  5 As 3.08-3.35
Sr 0.9588 0.6877 0.4475  5 As 3.08-3.35
Sr 0.4588 0.8123 0.0525  5 As 3.08-3.35
Sr 0.0412 0.3123 0.9475  5 As 3.08-3.35
Sr 0.0412 0.3123 0.5525  5 As 3.08-3.35
Sr 0.9588 0.6877 0.0525  5 As 3.08-3.35
Sr 0.5412 0.1877 0.5525  5 As 3.08-3.35
Sr 0.3429 0.5895 0.7500  7 As 3.05-3.38
Sr 0.1571 0.0895 0.2500  7 As 3.05-3.38
As 0.4655 0.8998 0.7500  1 Ge 2.46
As 0.8028 0.2163 0.7500  1 Ge 2.41
As 0.1972 0.7837 0.2500  1 Ge 2.41
As 0.3028 0.2837 0.7500  1 Ge 2.41
As 0.8654 0.0381 0.4590  1 Ge 2.54, 1 As 2.56
As 0.8654 0.0381 0.0410  1 Ge 2.54, 1 As 2.56
As 0.6346 0.5381 0.9590  1 Ge 2.54, 1 As 2.56
As 0.3654 0.4619 0.0410  1 Ge 2.54, 1 As 2.56
As 0.6346 0.5381 0.5410  1 Ge 2.54, 1 As 2.56
As 0.1346 0.9619 0.9590  1 Ge 2.54, 1 As 2.56
As 0.6972 0.7163 0.2500  1 Ge 2.41
As 0.1346 0.9619 0.5410  1 Ge 2.54, 1 As 2.56
As 0.3654 0.4619 0.4590  1 Ge 2.54, 1 As 2.56
As 0.9655 0.6002 0.7500  1 Ge 2.46
As 0.5345 0.1002 0.2500  1 Ge 2.46
As 0.0345 0.3998 0.2500  1 Ge 2.46
Ge 0.7325 0.4521 0.7500  4 As 2.41-2.54
Ge 0.2325 0.0479 0.7500  4 As 2.41-2.54
Ge 0.2675 0.5479 0.2500  4 As 2.41-2.54
Ge 0.7675 0.9521 0.2500  4 As 2.41-2.54

## Properties
DFT total energy = -139.22 eV for the cell shown
crystal system = orthorhombic
calculated formation energy = -818 meV/atom
V = 28.16 A^3/atom


6.
# Ac2SmTl

Crystalline Ac2SmTl at its relaxed geometry (GGA-PBE, Alexandria).

Lattice parameters (Å, degrees): 5.5821 7.1626 7.6117 104.24 90.00 90.00
Last column: nearest neighbours and their distance in Å.
Fractional coordinates of all 8 atoms:
Ac 0.7500 0.1481 0.9127  4 Tl 3.63-3.79, 3 Sm 3.73-3.74, 6 Ac 3.79-4.03
Ac 0.2500 0.8519 0.0873  4 Tl 3.63-3.79, 3 Sm 3.73-3.74, 6 Ac 3.79-4.03
Ac 0.7500 0.1590 0.4171  4 Sm 3.65-3.83, 3 Tl 3.69-3.79, 6 Ac 3.79-4.03
Ac 0.2500 0.8410 0.5829  4 Sm 3.65-3.83, 3 Tl 3.69-3.79, 6 Ac 3.79-4.03
Sm 0.7500 0.6084 0.2716  2 Tl 3.23
Sm 0.2500 0.3916 0.7284  2 Tl 3.23
Tl 0.7500 0.6260 0.7823  2 Sm 3.23
Tl 0.2500 0.3740 0.2177  2 Sm 3.23

## Properties
DFT total energy = -31.69 eV for the cell shown
crystal system = monoclinic
calculated formation energy = -135 meV/atom
V = 36.87 A^3/atom


7.
# SrSb2TeAs

Crystalline SrSb2TeAs at its relaxed geometry (GGA-PBE, Alexandria).

Lattice parameters (Å, degrees): 5.3849 5.3849 5.7093 90.00 90.00 90.00
Last column: nearest neighbours and their distance in Å.
Fractional coordinates of all 5 atoms:
Te 0.0000 0.0000 0.5000  2 As 2.85
Sr 0.5000 0.5000 0.5000  4 Te 3.81, 8 Sb 3.92
Sb 0.0000 0.5000 0.0000  2 As 2.69
Sb 0.5000 0.0000 0.0000  2 As 2.69
As 0.0000 0.0000 0.0000  4 Sb 2.69, 2 Te 2.85

## Properties
DFT total energy = -18.19 eV for the cell shown
crystal system = tetragonal
V = 33.11 A^3/atom
formation energy without anion corrections = -0.095 eV/atom


8.
# Pm8Y6Pu

Crystalline Pm8Y6Pu at its relaxed geometry (GGA-PBE, Alexandria).

Lattice parameters (Å, degrees): 5.9168 9.9118 9.9118 120.00 90.00 90.00
Last column: nearest neighbours and their distance in Å.
Fractional coordinates of all 15 atoms:
Pm 0.2401 0.7869 0.0519  1 Pu 2.86
Pm 0.7656 0.3333 0.6667  3 Pm 3.54, 9 Y 3.61-3.74
Pm 0.7599 0.2131 0.9481  1 Pu 2.86
Pm 0.7599 0.7350 0.7869  1 Pu 2.86
Pm 0.7599 0.0519 0.2650  1 Pu 2.86
Pm 0.2344 0.6667 0.3333  3 Pm 3.54, 9 Y 3.61-3.74
Pm 0.2401 0.9481 0.7350  1 Pu 2.86
Pm 0.2401 0.2650 0.2131  1 Pu 2.86
Y 0.2519 0.3808 0.9062  8 Pm 3.48-3.75, 4 Y 3.64-3.77
Y 0.7481 0.6192 0.0938  8 Pm 3.48-3.75, 4 Y 3.64-3.77
Y 0.7481 0.9062 0.5254  8 Pm 3.48-3.75, 4 Y 3.64-3.77
Y 0.2519 0.0938 0.4746  8 Pm 3.48-3.75, 4 Y 3.64-3.77
Y 0.7481 0.4746 0.3808  8 Pm 3.48-3.75, 4 Y 3.64-3.77
Y 0.2519 0.5254 0.6192  8 Pm 3.48-3.75, 4 Y 3.64-3.77
Pu 0.5000 0.0000 0.0000  6 Pm 2.86

## Properties
DFT total energy = -89.30 eV for the cell shown
crystal system = trigonal
calculated formation energy = 122 meV/atom
V = 33.56 A^3/atom


9.
# BaCaTbIn

Crystalline BaCaTbIn at its relaxed geometry (GGA-PBE, Alexandria).

Lattice parameters (Å, degrees): 5.8447 5.8447 5.8447 60.00 60.00 60.00
Last column: nearest neighbours and their distance in Å.
Fractional coordinates of all 4 atoms:
In 0.2500 0.2500 0.2500  4 Ba 3.58, 4 Tb 3.58
Tb 0.5000 0.5000 0.5000  4 In 3.58, 4 Ca 3.58
Ba 0.0000 0.0000 0.0000  4 Ca 3.58, 4 In 3.58
Ca 0.7500 0.7500 0.7500  4 Tb 3.58, 4 Ba 3.58

## Properties
DFT total energy = -11.59 eV for the cell shown
crystal system = cubic
calculated formation energy = -74 meV/atom
V = 35.30 A^3/atom


10.
# InCu2W

Crystalline InCu2W at its relaxed geometry (GGA-PBE, Alexandria).

Lattice parameters (Å, degrees): 4.4690 4.4690 4.4690 60.00 60.00 60.00
Last column: nearest neighbours and their distance in Å.
Fractional coordinates of all 4 atoms:
In 0.5000 0.5000 0.5000  4 Cu 2.74, 4 W 2.74
W 0.7500 0.7500 0.7500  4 In 2.74, 4 Cu 2.74
Cu 0.0000 0.0000 0.0000  4 W 2.74, 4 Cu 2.74
Cu 0.2500 0.2500 0.2500  4 In 2.74, 4 Cu 2.74

## Properties
DFT total energy = -21.15 eV for the cell shown
crystal system = cubic
calculated formation energy = 685 meV/atom
V = 15.78 A^3/atom


11.
# YTl8

Crystalline YTl8 at its relaxed geometry (GGA-PBE, Alexandria).

Lattice parameters (Å, degrees): 7.8142 7.8142 7.8142 95.44 95.44 144.13
Last column: nearest neighbours and their distance in Å.
Fractional coordinates of all 9 atoms:
Tl 0.3329 0.6671 0.0000  10 Tl 3.45-3.51, 2 Y 3.46
Tl 0.6671 0.3329 0.0000  10 Tl 3.45-3.51, 2 Y 3.46
Tl 0.3329 0.3329 0.6658  10 Tl 3.45-3.51, 2 Y 3.46
Tl 0.6671 0.6671 0.3342  10 Tl 3.45-3.51, 2 Y 3.46
Tl 0.0000 0.3317 0.3317  11 Tl 3.45-3.54, 1 Y 3.49
Tl 0.6683 0.0000 0.6683  11 Tl 3.45-3.54, 1 Y 3.49
Tl 0.0000 0.6683 0.6683  11 Tl 3.45-3.54, 1 Y 3.49
Tl 0.3317 0.0000 0.3317  11 Tl 3.45-3.54, 1 Y 3.49
Y 0.0000 0.0000 0.0000  12 Tl 3.46-3.49

## Properties
DFT total energy = -25.59 eV for the cell shown
crystal system = tetragonal
calculated formation energy = -21 meV/atom
V = 29.55 A^3/atom


12.
# MgAgPb2

Crystalline MgAgPb2 at its relaxed geometry (GGA-PBE, Alexandria).

Lattice parameters (Å, degrees): 5.7859 5.7859 5.7859 133.08 133.08 68.53
Last column: nearest neighbours and their distance in Å.
Fractional coordinates of all 4 atoms:
Ag 0.5000 0.5000 0.0000  8 Pb 3.26-3.32, 4 Mg 3.32
Mg 0.7500 0.2500 0.5000  8 Pb 3.26-3.32, 4 Ag 3.32
Pb 0.2500 0.7500 0.5000  4 Mg 3.26, 4 Pb 3.32, 4 Ag 3.32
Pb 0.0000 0.0000 0.0000  4 Ag 3.26, 4 Mg 3.32, 4 Pb 3.32

## Properties
DFT total energy = -11.73 eV for the cell shown
crystal system = tetragonal
calculated formation energy = 34 meV/atom
V = 25.37 A^3/atom